(1)
Material: K3Pm3NbSe8
Method: DFT, PBE
State: optimized geometry

Properties
- Symmetry: R-3m, No. 166
- E_tot: -5.200 eV per atom

Structure (POSCAR):
```
K3Pm3NbSe8
1.0
4.178 2.412 7.872
-4.178 2.412 7.872
0.000 -4.825 7.872
K Pm Nb Se
3 3 1 8
direct
0.000 0.500 0.500
0.500 0.000 0.500
0.500 0.500 0.000
0.000 0.000 0.500
0.000 0.500 0.000
0.500 0.000 0.000
0.500 0.500 0.500
0.237 0.237 0.237
0.260 0.718 0.718
0.282 0.282 0.740
0.282 0.740 0.282
0.718 0.260 0.718
0.718 0.718 0.260
0.740 0.282 0.282
0.763 0.763 0.763
```



(2)
Material: K2NbPt2
Method: DFT, PBE
State: optimized geometry

Properties
- Formation energy: 0.7596 eV/atom
- Polymorph energy (0 for the lowest one): 0.0 meV per atom
- Symmetry: P4/mbm, No. 127
- E_tot: -4.110 eV per atom

Structure (POSCAR):
```
K2NbPt2
1.0
8.945 0.000 0.000
0.000 8.945 0.000
0.000 0.000 2.778
K Nb Pt
4 2 4
direct
0.111 0.389 0.000
0.389 0.889 0.000
0.611 0.111 0.000
0.889 0.611 0.000
0.000 0.000 0.000
0.500 0.500 0.000
0.192 0.692 0.500
0.308 0.192 0.500
0.692 0.808 0.500
0.808 0.308 0.500
```



(3)
Material: KNb2Pt
Method: DFT, PBE
State: optimized geometry

Properties
- Formation energy: 0.8426 eV/atom
- Polymorph energy (0 for the lowest one): 0.0 meV per atom
- Symmetry: Fm-3m, No. 225
- E_tot: -5.977 eV per atom

Structure (POSCAR):
```
KNb2Pt
1.0
0.000 3.340 3.340
3.340 0.000 3.340
3.340 3.340 0.000
K Nb Pt
1 2 1
direct
0.000 0.000 0.000
0.250 0.250 0.250
0.750 0.750 0.750
0.500 0.500 0.500
```



(4)
Material: K2NbPt
Method: DFT, PBE
State: optimized geometry

Properties
- Formation energy: 1.2825 eV/atom
- Polymorph energy (0 for the lowest one): 503.8 meV per atom
- Symmetry: Fm-3m, No. 225
- E_tot: -3.294 eV per atom

Structure (POSCAR):
```
K2NbPt
1.0
0.000 3.860 3.860
3.860 0.000 3.860
3.860 3.860 0.000
K Nb Pt
2 1 1
direct
0.250 0.250 0.250
0.750 0.750 0.750
0.000 0.000 0.000
0.500 0.500 0.500
```



(5)
Material: KNb2Pt
Method: DFT, PBE
State: optimized geometry

Properties
- Formation energy: 0.9935 eV/atom
- Polymorph energy (0 for the lowest one): 150.9 meV per atom
- Symmetry: I-42d, No. 122
- E_tot: -5.826 eV per atom

Structure (POSCAR):
```
KNb2Pt
1.0
-2.250 2.250 9.935
2.250 -2.250 9.935
2.250 2.250 -9.935
K Nb Pt
2 4 2
direct
0.000 0.000 0.000
0.750 0.250 0.500
0.260 0.625 0.135
0.375 0.510 0.635
0.490 0.125 0.865
0.875 0.740 0.365
0.250 0.750 0.500
0.500 0.500 0.000
```



(6)
Material: K2NbPt2
Method: DFT, PBE
State: optimized geometry

Properties
- Formation energy: 1.3804 eV/atom
- Polymorph energy (0 for the lowest one): 620.7 meV per atom
- Symmetry: I4/mmm, No. 139
- E_tot: -3.489 eV per atom

Structure (POSCAR):
```
K2NbPt2
1.0
-2.654 2.654 4.404
2.654 -2.654 4.404
2.654 2.654 -4.404
K Nb Pt
2 1 2
direct
0.144 0.144 0.000
0.856 0.856 0.000
0.500 0.500 0.000
0.250 0.750 0.500
0.750 0.250 0.500
```